DFT (PBE) results for an optimized crystal structure of NaCeUSe4.

Cell and atoms, written as extended XYZ:
```
14
Lattice="-4.258 4.346 6.116 4.258 -4.346 6.116 4.258 4.346 -6.116" Properties=species:S:1:pos:R:3 pbc="T T T"
Na 0.000 2.173 1.538
Na 4.258 2.173 4.579
Ce 4.258 0.000 0.000
Ce 0.000 0.000 6.116
U 2.129 2.173 -3.058
U 2.129 -2.173 3.058
Se 4.258 -0.250 2.955
Se 4.258 4.096 -2.955
Se 2.284 2.173 -0.214
Se 6.232 2.173 -0.214
Se -1.974 2.173 6.330
Se 1.974 2.173 6.330
Se 0.000 0.250 9.071
Se 0.000 4.596 3.161
```

Properties
Formation energy without anion corrections = -1.398 eV per atom
V = 32.34 A^3/atom